## A
# BaPrMg, relaxed, DFT PBE
data_BaPrMg
_chemical_formula_sum 'Ba2 Pr2 Mg2'
_space_group_name_H-M_alt 'I 4 m m'
_space_group_IT_number 107
_space_group_name_Hall 'I 4 -2'
_cell_length_a 4.090
_cell_length_b 4.090
_cell_length_c 14.097
_cell_angle_alpha 90.00
_cell_angle_beta 90.00
_cell_angle_gamma 90.00
loop_
_atom_site_label
_atom_site_type_symbol
_atom_site_fract_x
_atom_site_fract_y
_atom_site_fract_z
Ba1 Ba 0.000 0.000 0.000
Pr1 Pr 0.000 0.000 0.288
Mg1 Mg 0.000 0.000 0.667
# Crystal system: tetragonal
# Magnetic moment: 0.0 μB per formula unit

=====

## B
# BaPrMg, relaxed, DFT PBE
data_BaPrMg
_chemical_formula_sum 'Ba4 Pr4 Mg4'
_space_group_name_H-M_alt 'I 4/m m m'
_space_group_IT_number 139
_space_group_name_Hall '-I 4 2'
_cell_length_a 4.042
_cell_length_b 4.042
_cell_length_c 30.042
_cell_angle_alpha 90.00
_cell_angle_beta 90.00
_cell_angle_gamma 90.00
loop_
_atom_site_label
_atom_site_type_symbol
_atom_site_fract_x
_atom_site_fract_y
_atom_site_fract_z
Ba1 Ba 0.000 0.000 0.071
Pr1 Pr 0.000 0.000 0.212
Mg1 Mg 0.000 0.000 0.349
# Crystal system: tetragonal
# Magnetic moment: 0.0 μB per formula unit

=====

Computed energies relative to the best structure, in meV per atom: A 17; B 0

=====

## A
# BaMg3Pt, relaxed, DFT PBE
data_BaMg3Pt
_chemical_formula_sum 'Ba4 Mg12 Pt4'
_space_group_name_H-M_alt 'P 1 21/c 1'
_space_group_IT_number 14
_cell_length_a 8.254
_cell_length_b 7.508
_cell_length_c 9.405
_cell_angle_alpha 90.00
_cell_angle_beta 102.40
_cell_angle_gamma 90.00
loop_
_space_group_symop_operation_xyz
'x,y,z'
'-x,-y,-z'
'-x,y+1/2,-z+1/2'
'x,-y+1/2,z+1/2'
loop_
_atom_site_label
_atom_site_type_symbol
_atom_site_fract_x
_atom_site_fract_y
_atom_site_fract_z
Ba1 Ba 0.179 0.080 0.213
Mg1 Mg 0.140 0.635 0.054
Mg2 Mg 0.356 0.552 0.373
Mg3 Mg 0.445 0.115 0.603
Pt1 Pt 0.449 0.748 0.127
# Crystal system: monoclinic
# Magnetic moment: 0.0 μB per formula unit

=====

## B
# BaMg3Pt, relaxed, DFT PBE
data_BaMg3Pt
_chemical_formula_sum 'Ba2 Mg6 Pt2'
_space_group_name_H-M_alt 'P 1 21/m 1'
_space_group_IT_number 11
_cell_length_a 6.112
_cell_length_b 6.442
_cell_length_c 7.432
_cell_angle_alpha 90.00
_cell_angle_beta 113.84
_cell_angle_gamma 90.00
loop_
_space_group_symop_operation_xyz
'x,y,z'
'-x,-y,-z'
'-x,y+1/2,-z'
'x,-y+1/2,z'
loop_
_atom_site_label
_atom_site_type_symbol
_atom_site_fract_x
_atom_site_fract_y
_atom_site_fract_z
Ba1 Ba 0.059 0.250 0.363
Mg1 Mg 0.049 0.250 0.872
Mg2 Mg 0.460 0.507 0.210
Pt1 Pt 0.345 0.750 0.464
# Crystal system: monoclinic
# Magnetic moment: 0.0 μB per formula unit

=====

Computed energies relative to the best structure, in meV per atom: A 0; B 35

=====

## A
# BaMg4Pt, relaxed, DFT PBE
data_BaMg4Pt
_chemical_formula_sum 'Ba4 Mg16 Pt4'
_space_group_name_H-M_alt 'F -4 3 m'
_space_group_IT_number 216
_space_group_name_Hall 'F -4 2 3'
_cell_length_a 8.325
_cell_length_b 8.325
_cell_length_c 8.325
_cell_angle_alpha 90.00
_cell_angle_beta 90.00
_cell_angle_gamma 90.00
loop_
_atom_site_label
_atom_site_type_symbol
_atom_site_fract_x
_atom_site_fract_y
_atom_site_fract_z
Ba1 Ba 0.000 0.000 0.000
Mg1 Mg 0.123 0.123 0.623
Pt1 Pt 0.250 0.250 0.250
# Crystal system: cubic
# Magnetic moment: 0.0 μB per formula unit

=====

## B
# BaMg4Pt, relaxed, DFT PBE
data_BaMg4Pt
_chemical_formula_sum 'Ba1 Mg4 Pt1'
_space_group_name_H-M_alt 'P 4/m m m'
_space_group_IT_number 123
_space_group_name_Hall '-P 4 2'
_cell_length_a 5.070
_cell_length_b 5.070
_cell_length_c 7.873
_cell_angle_alpha 90.00
_cell_angle_beta 90.00
_cell_angle_gamma 90.00
loop_
_atom_site_label
_atom_site_type_symbol
_atom_site_fract_x
_atom_site_fract_y
_atom_site_fract_z
Ba1 Ba 0.000 0.000 0.000
Mg1 Mg 0.000 0.500 0.500
Mg2 Mg 0.500 0.500 0.184
Pt1 Pt 0.500 0.500 0.500
# Crystal system: tetragonal
# Magnetic moment: 0.0 μB per formula unit

=====

Computed energies relative to the best structure, in meV per atom: A 199; B 0